# 1
# meta-GGA SCAN MnCr2Cd, PBEsol geometry
# - Fermi-level density of states: 0.671 states/eV/atom
# - VASP energy: -83.67 eV/cell
# - Crystal system: orthorhombic
# - Space group: Immm
# - Energy of formation: 171 kJ/mol of formula units
data_MnCr2Cd
_chemical_formula_sum 'Mn1 Cr2 Cd1'
_cell_length_a 2.9075
_cell_length_b 4.2413
_cell_length_c 4.9251
_cell_angle_alpha 115.50
_cell_angle_beta 107.17
_cell_angle_gamma 90.00
_space_group_name_H-M_alt 'P 1'
_space_group_IT_number 1
loop_
_space_group_symop_operation_xyz
'x,y,z'
loop_
_atom_site_label
_atom_site_type_symbol
_atom_site_fract_x
_atom_site_fract_y
_atom_site_fract_z
Cd1 Cd 0.0000 0.5000 0.0000
Cr1 Cr 0.7720 0.7720 0.5441
Cr2 Cr 0.2280 0.2280 0.4559
Mn1 Mn 0.5000 0.0000 0.0000


# 2
# meta-GGA SCAN MnCr2Cd, PBEsol geometry
# - Fermi-level density of states: 0.654 states/eV/atom
# - VASP energy: -84.26 eV/cell
# - Crystal system: trigonal
# - Space group: R3m
# - Energy of formation: 114 kJ/mol of formula units
data_MnCr2Cd
_chemical_formula_sum 'Mn1 Cr2 Cd1'
_cell_length_a 2.7761
_cell_length_b 2.7761
_cell_length_c 8.3450
_cell_angle_alpha 80.43
_cell_angle_beta 80.43
_cell_angle_gamma 60.00
_space_group_name_H-M_alt 'P 1'
_space_group_IT_number 1
loop_
_space_group_symop_operation_xyz
'x,y,z'
loop_
_atom_site_label
_atom_site_type_symbol
_atom_site_fract_x
_atom_site_fract_y
_atom_site_fract_z
Cd1 Cd 0.2501 0.2501 0.2497
Cr1 Cr 0.0148 0.0148 0.9556
Cr2 Cr 0.7475 0.7475 0.7575
Mn1 Mn 0.4876 0.4876 0.5372


# 3
# meta-GGA SCAN MnCrCd2, PBEsol geometry
# - Fermi-level density of states: 0.531 states/eV/atom
# - VASP energy: -97.01 eV/cell
# - Crystal system: orthorhombic
# - Space group: Pmmm
# - Energy of formation: 44 kJ/mol of formula units
# - Polymorph energy (0 for the lowest one): 32 meV/atom
data_MnCrCd2
_chemical_formula_sum 'Mn1 Cr1 Cd2'
_cell_length_a 2.9645
_cell_length_b 3.8623
_cell_length_c 5.9335
_cell_angle_alpha 90.00
_cell_angle_beta 90.00
_cell_angle_gamma 90.00
_space_group_name_H-M_alt 'P 1'
_space_group_IT_number 1
loop_
_space_group_symop_operation_xyz
'x,y,z'
loop_
_atom_site_label
_atom_site_type_symbol
_atom_site_fract_x
_atom_site_fract_y
_atom_site_fract_z
Cd1 Cd 0.0000 0.0000 0.7481
Cd2 Cd 0.0000 0.0000 0.2519
Cr1 Cr 0.5000 0.5000 0.0000
Mn1 Mn 0.5000 0.5000 0.5000


# 4
# meta-GGA SCAN Mn2CrCd, PBEsol geometry
# - Fermi-level density of states: 0.516 states/eV/atom
# - VASP energy: -84.94 eV/cell
# - Crystal system: orthorhombic
# - Space group: Imm2
# - Energy of formation: 36 kJ/mol of formula units
data_Mn2CrCd
_chemical_formula_sum 'Mn2 Cr1 Cd1'
_cell_length_a 3.0013
_cell_length_b 4.3041
_cell_length_c 5.0078
_cell_angle_alpha 115.45
_cell_angle_beta 107.44
_cell_angle_gamma 90.00
_space_group_name_H-M_alt 'P 1'
_space_group_IT_number 1
loop_
_space_group_symop_operation_xyz
'x,y,z'
loop_
_atom_site_label
_atom_site_type_symbol
_atom_site_fract_x
_atom_site_fract_y
_atom_site_fract_z
Cd1 Cd 0.5075 0.5075 0.0151
Cr1 Cr 0.2767 0.7767 0.5534
Mn1 Mn 0.9782 0.9782 0.9565
Mn2 Mn 0.7375 0.2375 0.4750


# 5
# meta-GGA SCAN MnCrCd2, PBEsol geometry
# - Fermi-level density of states: 0.471 states/eV/atom
# - VASP energy: -97.14 eV/cell
# - Crystal system: tetragonal
# - Space group: P4/mmm
# - Energy of formation: 32 kJ/mol of formula units
# - Polymorph energy (0 for the lowest one): 0 meV/atom
data_MnCrCd2
_chemical_formula_sum 'Mn1 Cr1 Cd2'
_cell_length_a 3.2173
_cell_length_b 4.6134
_cell_length_c 4.6134
_cell_angle_alpha 90.00
_cell_angle_beta 90.00
_cell_angle_gamma 90.00
_space_group_name_H-M_alt 'P 1'
_space_group_IT_number 1
loop_
_space_group_symop_operation_xyz
'x,y,z'
loop_
_atom_site_label
_atom_site_type_symbol
_atom_site_fract_x
_atom_site_fract_y
_atom_site_fract_z
Cd1 Cd 0.0000 0.0000 0.5000
Cd2 Cd 0.0000 0.5000 0.0000
Cr1 Cr 0.5000 0.5000 0.5000
Mn1 Mn 0.5000 0.0000 0.0000


# 6
# meta-GGA SCAN Cr2CdMo, PBEsol geometry
# - Fermi-level density of states: 0.707 states/eV/atom
# - VASP energy: -100.14 eV/cell
# - Crystal system: monoclinic
# - Space group: P2/m
# - Energy of formation: 186 kJ/mol of formula units
data_Cr2CdMo
_chemical_formula_sum 'Cr2 Cd1 Mo1'
_cell_length_a 2.6586
_cell_length_b 4.2073
_cell_length_c 5.4529
_cell_angle_alpha 90.00
_cell_angle_beta 101.75
_cell_angle_gamma 90.00
_space_group_name_H-M_alt 'P 1'
_space_group_IT_number 1
loop_
_space_group_symop_operation_xyz
'x,y,z'
loop_
_atom_site_label
_atom_site_type_symbol
_atom_site_fract_x
_atom_site_fract_y
_atom_site_fract_z
Cd1 Cd 0.0000 0.5000 0.5000
Cr1 Cr 0.7838 0.0000 0.8120
Cr2 Cr 0.2162 0.0000 0.1880
Mo1 Mo 0.5000 0.5000 0.0000


# 7
# meta-GGA SCAN Cr3CdMo, PBEsol geometry
# - Fermi-level density of states: 0.575 states/eV/atom
# - VASP energy: -114.67 eV/cell
# - Crystal system: cubic
# - Space group: Pm-3m
# - Energy of formation: 558 kJ/mol of formula units
data_Cr3CdMo
_chemical_formula_sum 'Cr3 Cd1 Mo1'
_cell_length_a 4.5866
_cell_length_b 4.5866
_cell_length_c 4.5866
_cell_angle_alpha 90.00
_cell_angle_beta 90.00
_cell_angle_gamma 90.00
_space_group_name_H-M_alt 'P 1'
_space_group_IT_number 1
loop_
_space_group_symop_operation_xyz
'x,y,z'
loop_
_atom_site_label
_atom_site_type_symbol
_atom_site_fract_x
_atom_site_fract_y
_atom_site_fract_z
Cr1 Cr 0.0000 0.5000 0.0000
Cr2 Cr 0.0000 0.0000 0.5000
Cr3 Cr 0.5000 0.0000 0.0000
Mo1 Mo 0.0000 0.0000 0.0000
Cd1 Cd 0.5000 0.5000 0.5000


# 8
# meta-GGA SCAN CrCd2Mo, PBEsol geometry
# - Fermi-level density of states: 0.580 states/eV/atom
# - VASP energy: -112.30 eV/cell
# - Crystal system: monoclinic
# - Space group: C2/m
# - Energy of formation: 174 kJ/mol of formula units
# - Polymorph energy (0 for the lowest one): 168 meV/atom
data_CrCd2Mo
_chemical_formula_sum 'Cr1 Cd2 Mo1'
_cell_length_a 2.8352
_cell_length_b 4.8820
_cell_length_c 5.1225
_cell_angle_alpha 99.78
_cell_angle_beta 106.07
_cell_angle_gamma 90.00
_space_group_name_H-M_alt 'P 1'
_space_group_IT_number 1
loop_
_space_group_symop_operation_xyz
'x,y,z'
loop_
_atom_site_label
_atom_site_type_symbol
_atom_site_fract_x
_atom_site_fract_y
_atom_site_fract_z
Cd1 Cd 0.2526 0.2518 0.5052
Cd2 Cd 0.7474 0.7482 0.4948
Cr1 Cr 0.0000 0.5000 0.0000
Mo1 Mo 0.5000 0.0000 0.0000


Q: Look up the VASP energy of the first one.
A: -83.67 eV/cell


Q: VASP energy of number 6 (Cr2CdMo)?
A: -100.14 eV/cell


Q: Which value of Fermi-level density of states does entry 7 give?
A: 0.575 states/eV/atom